Entry 1:
ZrTlZn2: relaxed, PBE.

Cell lengths 4.823, 4.823, 4.823 Å; angles 60.00, 60.00, 60.00 degrees
Fractional positions:
Zr 0.000 0.000 0.000
Tl 0.750 0.750 0.750
Zn 0.250 0.250 0.250
Zn 0.500 0.500 0.500

Properties
* space group: F-43m
* energy of formation from the pure elements: 0.1914 eV per atom

Entry 2:
KCoRuSe2: relaxed, PBE.

Cell lengths 5.481, 5.481, 4.356 Å; angles 90.00, 90.00, 90.00 degrees
Fractional positions:
K 0.000 0.000 0.000
Co 0.000 0.000 0.500
Ru 0.500 0.500 0.500
Se 0.000 0.500 0.000
Se 0.500 0.000 0.000

Properties
* space group: P4/mmm
* formation energy from raw total energies: 2.009 eV per atom

Entry 3:
BiAsWBr2: relaxed, PBE.

Cell lengths 5.552, 5.552, 5.743 Å; angles 90.00, 90.00, 90.00 degrees
Fractional positions:
Bi 0.000 0.000 0.000
As 0.000 0.000 0.500
W 0.500 0.500 0.500
Br 0.000 0.500 0.000
Br 0.500 0.000 0.000

Properties
* space group: P4/mmm
* formation energy from raw total energies: 1.401 eV per atom

Entry 4:
ZrBeBr4: relaxed, PBE.

Cell lengths 6.116, 6.116, 6.116 Å; angles 60.00, 60.00, 60.00 degrees
Fractional positions:
Zr 0.000 0.000 0.000
Be 0.750 0.750 0.750
Br 0.374 0.374 0.374
Br 0.374 0.374 0.877
Br 0.374 0.877 0.374
Br 0.877 0.374 0.374

Properties
* space group: F-43m
* formation energy from raw total energies: 0.965 eV per atom

Entry 5:
HoIn4Hg7: relaxed, PBE.

Cell lengths 5.101, 5.101, 13.686 Å; angles 90.00, 90.00, 120.00 degrees
Fractional positions:
Ho 0.000 0.000 0.000
In 0.333 0.667 0.149
In 0.333 0.667 0.408
In 0.667 0.333 0.592
In 0.667 0.333 0.851
Hg 0.000 0.000 0.238
Hg 0.000 0.000 0.500
Hg 0.000 0.000 0.762
Hg 0.333 0.667 0.660
Hg 0.333 0.667 0.912
Hg 0.667 0.333 0.088
Hg 0.667 0.333 0.340

Properties
* space group: P-3m1
* energy of formation from the pure elements: -0.0875 eV per atom

Entry 6:
EuGeBi2: relaxed, PBE.

Cell lengths 10.649, 10.649, 10.649 Å; angles 21.05, 21.05, 21.05 degrees
Fractional positions:
Eu 0.000 0.000 0.000
Ge 0.500 0.500 0.500
Bi 0.106 0.106 0.106
Bi 0.894 0.894 0.894

Properties
* space group: R-3m
* energy of formation from the pure elements: 0.1379 eV per atom

Entry 7:
Sc8ZnIr2: relaxed, PBE.

Cell lengths 8.141, 8.141, 8.141 Å; angles 147.54, 127.29, 63.29 degrees
Fractional positions:
Sc 0.112 0.328 0.783
Sc 0.135 0.135 0.000
Sc 0.311 0.000 0.311
Sc 0.455 0.672 0.783
Sc 0.545 0.328 0.217
Sc 0.689 0.000 0.689
Sc 0.865 0.865 0.000
Sc 0.888 0.672 0.217
Zn 0.000 0.500 0.500
Ir 0.323 0.823 0.500
Ir 0.677 0.177 0.500

Properties
* space group: Immm
* energy of formation from the pure elements: -0.4331 eV per atom

Entry 8:
LiLaY2: relaxed, PBE.

Cell lengths 3.713, 3.713, 8.788 Å; angles 90.00, 90.00, 90.00 degrees
Fractional positions:
Li 0.000 0.000 0.000
La 0.000 0.000 0.500
Y 0.500 0.500 0.213
Y 0.500 0.500 0.787

Properties
* space group: P4/mmm
* energy of formation from the pure elements: 0.0750 eV per atom

Entry 9:
TbPr2Nd2Sm: relaxed, PBE.

Cell lengths 7.134, 5.798, 10.013 Å; angles 90.00, 90.00, 90.00 degrees
Fractional positions:
Tb 0.000 0.000 0.000
Tb 0.500 0.000 0.000
Pr 0.000 0.500 0.500
Pr 0.250 0.000 0.327
Pr 0.500 0.500 0.500
Pr 0.750 0.000 0.673
Nd 0.250 0.000 0.666
Nd 0.250 0.500 0.167
Nd 0.750 0.000 0.334
Nd 0.750 0.500 0.833
Sm 0.250 0.500 0.838
Sm 0.750 0.500 0.162

Properties
* space group: Pmma
* energy of formation from the pure elements: 0.0535 eV per atom

Entry 10:
BaTeP2: relaxed, PBE.

Cell lengths 4.075, 4.075, 6.613 Å; angles 90.00, 90.00, 90.00 degrees
Fractional positions:
Ba 0.000 0.000 0.000
Te 0.500 0.500 0.744
P 0.000 0.000 0.456
P 0.500 0.500 0.367

Properties
* space group: P4mm
* formation energy from raw total energies: -0.043 eV per atom

Entry 11:
RbCd2SnSe4: relaxed, PBE.

Cell lengths 7.102, 7.102, 7.102 Å; angles 117.38, 117.38, 94.60 degrees
Fractional positions:
Rb 0.000 0.000 0.000
Cd 0.250 0.750 0.500
Cd 0.750 0.250 0.500
Sn 0.500 0.500 0.000
Se 0.137 0.542 0.000
Se 0.458 0.458 0.595
Se 0.542 0.137 0.000
Se 0.863 0.863 0.405

Properties
* space group: I-42m
* formation energy from raw total energies: -0.565 eV per atom

Entry 12:
SrTl2CrBr6: relaxed, PBE.

Cell lengths 7.520, 7.807, 7.917 Å; angles 61.69, 63.16, 89.85 degrees
Fractional positions:
Sr 0.000 0.000 0.000
Tl 0.282 0.730 0.556
Tl 0.718 0.270 0.444
Cr 0.500 0.500 0.000
Br 0.184 0.637 0.058
Br 0.255 0.168 0.503
Br 0.369 0.274 0.907
Br 0.631 0.726 0.093
Br 0.745 0.832 0.497
Br 0.816 0.363 0.942

Properties
* space group: P-1
* formation energy from raw total energies: -1.130 eV per atom

Ordered VASP energy results: -0.11665; -0.10585; -0.13099; -0.08069; -0.05725; -0.20306; -0.24860; -0.17887; -0.17225; -0.14752; -0.11603; -0.13737; unit Ha/atom.
Ordered spin magnetization results: 0.0; 5.4; 4.3; 1.5; 0.0; 7.5; 0.0; 0.0; 0.0; 0.0; 0.0; 4.0; unit μB per formula unit.